(a)
Density functional theory data (PBE-GGA) for crystalline BSb2Se at its relaxed geometry.

Cell: 4.880 4.880 4.880 Å, 60.00 60.00 60.00°
Fractional positions:
Sb (0.250, 0.250, 0.250)
Sb (0.750, 0.750, 0.750)
B (0.000, 0.000, 0.000)
Se (0.500, 0.500, 0.500)

Calculated values
Mass density in g/cm3: 6.733
SG: No. 225

***

(b)
Density functional theory data (PBE-GGA) for crystalline BSb2Se at its relaxed geometry.

Cell: 6.538 6.538 6.420 Å, 59.39 59.39 90.00°
Fractional positions:
Sb (0.553, 0.125, 0.250)
Sb (0.197, 0.625, 0.250)
Sb (0.375, 0.447, 0.750)
Sb (0.875, 0.803, 0.750)
B (0.500, 0.500, 0.000)
B (0.250, 0.750, 0.500)
Se (0.000, 0.000, 0.000)
Se (0.750, 0.250, 0.500)

Calculated values
Mass density in g/cm3: 5.812
SG: No. 122

***

Least stable structure: (a)

***

(a)
Density functional theory data (PBE-GGA) for crystalline B2SbSe at its relaxed geometry.

Cell: 4.390 4.390 4.390 Å, 60.00 60.00 60.00°
Fractional positions:
Sb (0.500, 0.500, 0.500)
B (0.250, 0.250, 0.250)
B (0.750, 0.750, 0.750)
Se (0.000, 0.000, 0.000)

Calculated values
Mass density in g/cm3: 6.170
SG: No. 225

***

(b)
Density functional theory data (PBE-GGA) for crystalline B2SbSe at its relaxed geometry.

Cell: 5.041 5.041 6.403 Å, 66.82 66.82 90.00°
Fractional positions:
Sb (0.000, 0.000, 0.000)
Sb (0.750, 0.250, 0.500)
B (0.608, 0.125, 0.250)
B (0.142, 0.625, 0.250)
B (0.375, 0.392, 0.750)
B (0.875, 0.858, 0.750)
Se (0.500, 0.500, 0.000)
Se (0.250, 0.750, 0.500)

Calculated values
Mass density in g/cm3: 5.463
SG: No. 122

***

Least stable structure: (a)

***

(a)
Density functional theory data (PBE-GGA) for crystalline BSbTe2Se at its relaxed geometry.

Cell: 5.482 5.482 5.423 Å, 90.00 90.00 90.00°
Site moments in Bohr magnetons follow the coordinates.
Fractional positions:
Sb (0.000, 0.000, 0.500)  0.20
B (0.500, 0.500, 0.500)  0.01
Te (0.000, 0.500, 0.000)  0.04
Te (0.500, 0.000, 0.000)  0.04
Se (0.000, 0.000, 0.000)  0.00

Calculated values
Mass density in g/cm3: 4.756
SG: No. 123

***

(b)
Density functional theory data (PBE-GGA) for crystalline BSbTe2Se at its relaxed geometry.

Cell: 4.810 4.810 5.015 Å, 90.00 90.00 90.00°
Fractional positions:
Sb (0.000, 0.000, 0.500)
B (0.000, 0.000, 0.000)
Te (0.000, 0.500, 0.000)
Te (0.500, 0.000, 0.000)
Se (0.500, 0.500, 0.500)

Calculated values
Mass density in g/cm3: 6.681
SG: No. 123

***

Least stable structure: (a)

***

(a)
Density functional theory data (PBE-GGA) for crystalline Si2BSb at its relaxed geometry.

Cell: 4.543 4.543 4.543 Å, 60.00 60.00 60.00°
Fractional positions:
Sb (0.500, 0.500, 0.500)
Si (0.250, 0.250, 0.250)
Si (0.750, 0.750, 0.750)
B (0.000, 0.000, 0.000)

Calculated values
Mass density in g/cm3: 4.728
SG: No. 225

***

(b)
Density functional theory data (PBE-GGA) for crystalline Si2BSb at its relaxed geometry.

Cell: 5.369 5.369 6.441 Å, 65.37 65.37 90.00°
Fractional positions:
Sb (0.000, 0.000, 0.000)
Sb (0.750, 0.250, 0.500)
Si (0.534, 0.125, 0.250)
Si (0.216, 0.625, 0.250)
Si (0.375, 0.466, 0.750)
Si (0.875, 0.784, 0.750)
B (0.500, 0.500, 0.000)
B (0.250, 0.750, 0.500)

Calculated values
Mass density in g/cm3: 4.179
SG: No. 122

***

Least stable structure: (a)

***

(a)
Density functional theory data (PBE-GGA) for crystalline SnB2Sb2 at its relaxed geometry.

Cell: 7.297 7.297 3.609 Å, 90.00 90.00 90.00°
Fractional positions:
Sb (0.168, 0.668, 0.500)
Sb (0.668, 0.832, 0.500)
Sb (0.832, 0.332, 0.500)
Sb (0.332, 0.168, 0.500)
B (0.419, 0.919, 0.000)
B (0.919, 0.581, 0.000)
B (0.581, 0.081, 0.000)
B (0.081, 0.419, 0.000)
Sn (0.000, 0.000, 0.000)
Sn (0.500, 0.500, 0.000)

Calculated values
Mass density in g/cm3: 6.633
SG: No. 127

***

(b)
Density functional theory data (PBE-GGA) for crystalline SnB2Sb2 at its relaxed geometry.

Cell: 4.816 4.816 5.241 Å, 62.65 62.65 90.00°
Fractional positions:
Sb (0.750, 0.250, 0.500)
Sb (0.250, 0.750, 0.500)
B (0.392, 0.392, 0.216)
B (0.608, 0.608, 0.784)
Sn (0.000, 0.000, 0.000)

Calculated values
Mass density in g/cm3: 6.897
SG: No. 139

***

Least stable structure: (a)

***

(a)
Density functional theory data (PBE-GGA) for crystalline SnBSbTe2 at its relaxed geometry.

Cell: 4.938 4.938 4.978 Å, 90.00 90.00 90.00°
Fractional positions:
Sb (0.000, 0.000, 0.500)
B (0.000, 0.000, 0.000)
Te (0.000, 0.500, 0.000)
Te (0.500, 0.000, 0.000)
Sn (0.500, 0.500, 0.500)

Calculated values
Mass density in g/cm3: 6.928
SG: No. 123

***

(b)
Density functional theory data (PBE-GGA) for crystalline SnBSbTe2 at its relaxed geometry.

Cell: 5.733 5.733 5.653 Å, 90.00 90.00 90.00°
Fractional positions:
Sb (0.000, 0.000, 0.500)
B (0.500, 0.500, 0.500)
Te (0.000, 0.500, 0.000)
Te (0.500, 0.000, 0.000)
Sn (0.000, 0.000, 0.000)

Calculated values
Mass density in g/cm3: 4.526
SG: No. 123

***

Least stable structure: (b)

***

(a)
Density functional theory data (PBE-GGA) for crystalline Sr2BSb at its relaxed geometry.

Cell: 8.338 8.338 6.887 Å, 52.75 52.75 90.00°
Site moments in Bohr magnetons follow the coordinates.
Fractional positions:
Sb (0.000, 0.000, 0.000)  0.05
Sb (0.750, 0.250, 0.500)  0.05
B (0.500, 0.500, 0.000)  0.54
B (0.250, 0.750, 0.500)  0.54
Sr (0.576, 0.125, 0.250)  0.11
Sr (0.174, 0.625, 0.250)  0.11
Sr (0.375, 0.424, 0.750)  0.11
Sr (0.875, 0.826, 0.750)  0.11

Calculated values
Mass density in g/cm3: 4.131
SG: No. 122

***

(b)
Density functional theory data (PBE-GGA) for crystalline Sr2BSb at its relaxed geometry.

Cell: 5.442 5.442 5.442 Å, 60.00 60.00 60.00°
Fractional positions:
Sb (0.500, 0.500, 0.500)
B (0.000, 0.000, 0.000)
Sr (0.250, 0.250, 0.250)
Sr (0.750, 0.750, 0.750)

Calculated values
Mass density in g/cm3: 4.484
SG: No. 225

***

Least stable structure: (a)

***

(a)
Density functional theory data (PBE-GGA) for crystalline SrB3Sb at its relaxed geometry.

Cell: 4.586 4.586 4.586 Å, 90.00 90.00 90.00°
Fractional positions:
Sb (0.000, 0.000, 0.000)
B (0.000, 0.500, 0.000)
B (0.000, 0.000, 0.500)
B (0.500, 0.000, 0.000)
Sr (0.500, 0.500, 0.500)

Calculated values
Mass density in g/cm3: 4.162
SG: No. 221

***

(b)
Density functional theory data (PBE-GGA) for crystalline SrB3Sb at its relaxed geometry.

Cell: 4.886 4.886 4.886 Å, 90.00 90.00 90.00°
Fractional positions:
Sb (0.500, 0.500, 0.500)
B (0.000, 0.500, 0.000)
B (0.000, 0.000, 0.500)
B (0.500, 0.000, 0.000)
Sr (0.000, 0.000, 0.000)

Calculated values
Mass density in g/cm3: 3.442
SG: No. 221

***

Least stable structure: (b)

***

(a)
Density functional theory data (PBE-GGA) for crystalline SrBSb2Te at its relaxed geometry.

Cell: 5.016 5.016 5.182 Å, 90.00 90.00 90.00°
Fractional positions:
Sb (0.000, 0.500, 0.000)
Sb (0.500, 0.000, 0.000)
B (0.000, 0.000, 0.000)
Te (0.000, 0.000, 0.500)
Sr (0.500, 0.500, 0.500)

Calculated values
Mass density in g/cm3: 5.982
SG: No. 123

***

(b)
Density functional theory data (PBE-GGA) for crystalline SrBSb2Te at its relaxed geometry.

Cell: 6.070 6.070 6.042 Å, 90.00 90.00 90.00°
Fractional positions:
Sb (0.000, 0.500, 0.000)
Sb (0.500, 0.000, 0.000)
B (0.500, 0.500, 0.500)
Te (0.000, 0.000, 0.500)
Sr (0.000, 0.000, 0.000)

Calculated values
Mass density in g/cm3: 3.503
SG: No. 123

***

Least stable structure: (b)

***

(a)
Density functional theory data (PBE-GGA) for crystalline Ta2BSb at its relaxed geometry.

Cell: 4.523 4.523 4.523 Å, 60.00 60.00 60.00°
Fractional positions:
Sb (0.500, 0.500, 0.500)
B (0.000, 0.000, 0.000)
Ta (0.250, 0.250, 0.250)
Ta (0.750, 0.750, 0.750)

Calculated values
Mass density in g/cm3: 12.547
SG: No. 225

***

(b)
Density functional theory data (PBE-GGA) for crystalline Ta2BSb at its relaxed geometry.

Cell: 5.483 5.483 6.934 Å, 66.71 66.71 90.00°
Fractional positions:
Sb (0.000, 0.000, 0.000)
Sb (0.750, 0.250, 0.500)
B (0.500, 0.500, 0.000)
B (0.250, 0.750, 0.500)
Ta (0.520, 0.125, 0.250)
Ta (0.230, 0.625, 0.250)
Ta (0.375, 0.480, 0.750)
Ta (0.875, 0.770, 0.750)

Calculated values
Mass density in g/cm3: 9.503
SG: No. 122

***

Least stable structure: (a)

***

(a)
Density functional theory data (PBE-GGA) for crystalline TaBSb2Te at its relaxed geometry.

Cell: 4.748 4.748 4.713 Å, 90.00 90.00 90.00°
Fractional positions:
Sb (0.000, 0.500, 0.000)
Sb (0.500, 0.000, 0.000)
B (0.000, 0.000, 0.000)
Te (0.000, 0.000, 0.500)
Ta (0.500, 0.500, 0.500)

Calculated values
Mass density in g/cm3: 8.795
SG: No. 123

***

(b)
Density functional theory data (PBE-GGA) for crystalline TaBSb2Te at its relaxed geometry.

Cell: 5.381 5.381 5.348 Å, 90.00 90.00 90.00°
Fractional positions:
Sb (0.000, 0.500, 0.000)
Sb (0.500, 0.000, 0.000)
B (0.500, 0.500, 0.500)
Te (0.000, 0.000, 0.500)
Ta (0.000, 0.000, 0.000)

Calculated values
Mass density in g/cm3: 6.036
SG: No. 123

***

Least stable structure: (b)

***

(a)
Density functional theory data (PBE-GGA) for crystalline Tc3BSb at its relaxed geometry.

Cell: 4.842 4.842 4.842 Å, 90.00 90.00 90.00°
Site moments in Bohr magnetons follow the coordinates.
Fractional positions:
Sb (0.000, 0.000, 0.000)  -0.05
B (0.500, 0.500, 0.500)  -0.09
Tc (0.000, 0.500, 0.000)  0.90
Tc (0.000, 0.000, 0.500)  1.10
Tc (0.500, 0.000, 0.000)  0.82

Calculated values
Mass density in g/cm3: 6.239
SG: No. 221

***

(b)
Density functional theory data (PBE-GGA) for crystalline Tc3BSb at its relaxed geometry.

Cell: 4.188 4.188 4.188 Å, 90.00 90.00 90.00°
Site moments in Bohr magnetons follow the coordinates.
Fractional positions:
Sb (0.500, 0.500, 0.500)  -0.03
B (0.000, 0.000, 0.000)  -0.04
Tc (0.000, 0.500, 0.000)  0.64
Tc (0.000, 0.000, 0.500)  0.72
Tc (0.500, 0.000, 0.000)  0.52

Calculated values
Mass density in g/cm3: 9.640
SG: No. 221

***

Least stable structure: (a)

***

(a)
Density functional theory data (PBE-GGA) for crystalline Tc2BSb at its relaxed geometry.

Cell: 4.308 4.308 4.308 Å, 60.00 60.00 60.00°
Fractional positions:
Sb (0.500, 0.500, 0.500)
B (0.000, 0.000, 0.000)
Tc (0.250, 0.250, 0.250)
Tc (0.750, 0.750, 0.750)

Calculated values
Mass density in g/cm3: 9.650
SG: No. 225

***

(b)
Density functional theory data (PBE-GGA) for crystalline Tc2BSb at its relaxed geometry.

Cell: 4.684 4.684 7.394 Å, 71.53 71.53 90.00°
Fractional positions:
Sb (0.000, 0.000, 0.000)
Sb (0.750, 0.250, 0.500)
B (0.500, 0.500, 0.000)
B (0.250, 0.750, 0.500)
Tc (0.494, 0.125, 0.250)
Tc (0.256, 0.625, 0.250)
Tc (0.375, 0.506, 0.750)
Tc (0.875, 0.744, 0.750)

Calculated values
Mass density in g/cm3: 7.524
SG: No. 122

***

Least stable structure: (b)

***

(a)
Density functional theory data (PBE-GGA) for crystalline TcBSb3 at its relaxed geometry.

Cell: 4.710 4.710 4.710 Å, 90.00 90.00 90.00°
Site moments in Bohr magnetons follow the coordinates.
Fractional positions:
Sb (0.000, 0.500, 0.000)  -0.07
Sb (0.000, 0.000, 0.500)  -0.05
Sb (0.500, 0.000, 0.000)  -0.02
B (0.000, 0.000, 0.000)  -0.06
Tc (0.500, 0.500, 0.500)  2.01

Calculated values
Mass density in g/cm3: 7.534
SG: No. 221

***

(b)
Density functional theory data (PBE-GGA) for crystalline TcBSb3 at its relaxed geometry.

Cell: 5.124 5.124 5.124 Å, 90.00 90.00 90.00°
Fractional positions:
Sb (0.000, 0.500, 0.000)
Sb (0.000, 0.000, 0.500)
Sb (0.500, 0.000, 0.000)
B (0.500, 0.500, 0.500)
Tc (0.000, 0.000, 0.000)

Calculated values
Mass density in g/cm3: 5.853
SG: No. 221

***

Least stable structure: (b)